DFT (PBE) results for a relaxed structure of CaPuHg4.

Cell: 4.8520 15.2506 8.6583 Å, 90.00 90.00 90.00°
Space group Cmcm (No. 63)
Symmetry-distinct sites (fractional):
1 Ca 0.0000 0.1513 0.2500 x4
2 Pu 0.0000 0.1584 0.7500 x4
3 Hg 0.0000 0.0000 0.0000 x4
4 Hg 0.0000 0.3222 0.5015 x8
5 Hg 0.0000 0.4916 0.2500 x4

## Properties
Distance to the lowest polymorph of the same formula   0.036 eV/atom
Energy of formation from the pure elements   -0.232 eV per atom
DOS at the Fermi energy   61.1 states/eV/cell

---

DFT (PBE) results for a relaxed structure of Ba6PdRhAu2.

Cell: 8.0478 8.0552 8.8320 Å, 90.03 117.10 119.96°
Space group P1 (No. 1)
Symmetry-distinct sites (fractional):
1 Ba 0.0000 0.0000 0.0000 x1
2 Ba 0.9998 0.1379 0.5101 x1
3 Ba 0.2862 0.7974 0.5103 x1
4 Ba 0.2869 0.6500 0.0005 x1
5 Ba 0.6372 0.2865 0.0002 x1
6 Ba 0.6594 0.5110 0.5098 x1
7 Pd 0.1491 0.3992 0.2615 x1
8 Rh 0.1501 0.8995 0.7626 x1
9 Au 0.7908 0.7201 0.2236 x1
10 Au 0.7954 0.2226 0.7306 x1

## Properties
Energy of formation from the pure elements   -0.439 eV per atom
DOS at the Fermi energy   7.0 states/eV/cell

---

DFT (PBE) results for a relaxed structure of Mg2PbW.

Cell: 4.1421 4.1421 9.0276 Å, 90.00 90.00 90.00°
Space group I-4m2 (No. 119)
Symmetry-distinct sites (fractional):
1 Mg 0.0000 0.0000 0.0000 x2
2 Mg 0.0000 0.5000 0.2500 x2
3 Pb 0.0000 0.5000 0.7500 x2
4 W 0.0000 0.0000 0.5000 x2

## Properties
Energy of formation from the pure elements   0.479 eV per atom
DOS at the Fermi energy   1.0 states/eV/cell

---

DFT (PBE) results for a relaxed structure of YMg2Mo.

Cell: 4.3271 4.3271 9.1220 Å, 90.00 90.00 90.00°
Space group I4/mmm (No. 139)
Symmetry-distinct sites (fractional):
1 Y 0.0000 0.0000 0.0000 x2
2 Mg 0.0000 0.5000 0.2500 x4
3 Mo 0.0000 0.0000 0.5000 x2

## Properties
Distance to the lowest polymorph of the same formula   0.021 eV/atom
Energy of formation from the pure elements   0.302 eV per atom
DOS at the Fermi energy   7.5 states/eV/cell